6
Lattice="0.0000 3.7812 3.7812 3.7812 0.0000 3.7812 3.7812 3.7812 0.0000" Properties=species:S:1:pos:R:3 comment="CdRe4Te | Alexandria | GGA-PBE | optimized geometry" e_tot_ev_per_atom=-8.20 raw_formation_energy_ev_per_atom=0.78 sg="F-43m, No. 216" dos_at_fermi_per_ev_cell=2.382 pbc="T T T"
Cd 0.0000 0.0000 0.0000
Re 4.7251 2.8373 2.8373
Re 2.8373 4.7251 2.8373
Re 2.8373 2.8373 4.7251
Re 4.7251 4.7251 4.7251
Te 1.8906 1.8906 1.8906